Below is a geometry-optimized SnBPtRh2 structure, with properties calculated at the PBE-GGA level.

## Properties
- final energy (eV per atom) = -6.57
- total magnetic moment (Bohr magnetons per cell) = 0.0
- SG = No. 123
- formation energy (eV/atom) = -0.281

a b c (Å): 4.1807 4.1807 4.2361
angles (deg): 90.00 90.00 90.00
Fractional positions:
Sn1 0.0000 0.0000 0.0000
B1 0.5000 0.5000 0.5000
Pt1 0.5000 0.5000 0.0000
Rh1 0.0000 0.5000 0.5000
Rh2 0.5000 0.0000 0.5000